Entry 1:
DFT (SCAN) results for a PBEsol-optimized structure of Sc3Hg.

a = 5.1087 Å, b = 6.2173 Å, c = 6.2173 Å
α = 120.00°, β = 90.00°, γ = 90.00°
Site moments in Bohr magnetons follow the coordinates.
Atoms (fractional coordinates):
Hg1 0.7500 0.6667 0.3333  -0.01
Hg2 0.2500 0.3333 0.6667  -0.01
Sc1 0.7500 0.1703 0.3406  0.23
Sc2 0.2500 0.8297 0.6594  0.23
Sc3 0.7500 0.1703 0.8297  0.23
Sc4 0.2500 0.8297 0.1703  0.23
Sc5 0.7500 0.6594 0.8297  0.23
Sc6 0.2500 0.3406 0.1703  0.23

Properties
For the calculated total energy, the calculation gives -28.12 eV/atom. The space group is P6_3/mmc. For the formation energy, the calculation gives -0.40 eV/atom.

***

Entry 2:
DFT (SCAN) results for a PBEsol-optimized structure of ScHg7.

a = 6.2931 Å, b = 6.2931 Å, c = 6.2931 Å
α = 60.00°, β = 60.00°, γ = 60.00°
Atoms (fractional coordinates):
Hg1 0.5000 0.5000 0.0000
Hg2 0.0000 0.5000 0.0000
Hg3 0.0000 0.5000 0.5000
Hg4 0.0000 0.0000 0.5000
Hg5 0.5000 0.0000 0.5000
Hg6 0.5000 0.0000 0.0000
Hg7 0.5000 0.5000 0.5000
Sc1 0.0000 0.0000 0.0000

Properties
For the calculated total energy, the calculation gives -61.52 eV/atom. The space group is Fm-3m. For the formation energy, the calculation gives -0.10 eV/atom.

***

What did the first record say?
DFT (SCAN) results for a PBEsol-optimized structure of Sc3Hg.

a = 5.1087 Å, b = 6.2173 Å, c = 6.2173 Å
α = 120.00°, β = 90.00°, γ = 90.00°
Site moments in Bohr magnetons follow the coordinates.
Atoms (fractional coordinates):
Hg1 0.7500 0.6667 0.3333  -0.01
Hg2 0.2500 0.3333 0.6667  -0.01
Sc1 0.7500 0.1703 0.3406  0.23
Sc2 0.2500 0.8297 0.6594  0.23
Sc3 0.7500 0.1703 0.8297  0.23
Sc4 0.2500 0.8297 0.1703  0.23
Sc5 0.7500 0.6594 0.8297  0.23
Sc6 0.2500 0.3406 0.1703  0.23

Properties
For the calculated total energy, the calculation gives -28.12 eV/atom. The space group is P6_3/mmc. For the formation energy, the calculation gives -0.40 eV/atom.

***

Q: What is the calculated total energy in the second record?
A: -61.52 eV/atom

***

Q: What is the calculated total energy in the first record?
A: -28.12 eV/atom

***

Q: Which formula does entry 2 have?
A: ScHg7